(1)
The following is a GGA-PBE calculation of crystalline BaTa2As at its relaxed geometry, from Alexandria via LeMat-Bulk.

Geometry as extended XYZ:
```
4
Lattice="3.536 0.000 0.000 0.000 5.137 0.000 0.000 0.000 4.883" Properties=species:S:1:pos:R:3 pbc="T T T"
Ba 0.000 2.568 2.442
As 1.768 0.000 2.442
Ta 1.768 2.568 0.000
Ta 0.000 0.000 0.000
```

Properties
The density comes out at 10.7 Mg/m³. The density of states at the Fermi level comes out at 4.7 states/eV/cell. As for the calculated total energy: -6.69 eV per atom. For the formation enthalpy at 0 K, the calculation gives 875 meV/atom.

***

(2)
The following is a GGA-PBE calculation of crystalline Rb2Ca3PaF12 at its relaxed geometry, from Alexandria via LeMat-Bulk.

Geometry as extended XYZ:
```
18
Lattice="0.022 3.064 7.999 2.982 -4.402 6.716 7.155 2.113 4.209" Properties=species:S:1:pos:R:3 pbc="T T T"
F 7.636 3.459 13.505
F 5.069 -2.306 10.119
F 0.683 1.955 6.217
F 5.044 -0.589 15.062
F 2.522 -2.684 5.419
F 9.475 -1.180 12.708
F 7.497 1.484 8.661
F 5.089 3.081 8.805
F 2.662 -0.709 10.264
F 3.347 2.037 10.865
F 6.811 -1.262 8.059
F 5.114 1.364 3.862
Ca 3.577 1.057 2.105
Ca 1.491 -2.201 3.358
Ca 0.011 1.532 4.000
Rb 4.258 0.325 7.932
Rb 5.900 0.450 10.992
Pa 0.000 0.000 0.000
```

Properties
The density comes out at 3.0 Mg/m³. As for the calculated total energy: -5.81 eV per atom.